# 1
Computed, not measured: KCaLa2Te4 after structural relaxation at the GGA-PBE level of DFT.

Results
* total DFT energy (no corrections): -37.621 eV for the cell shown
* density: 5.05 Mg/m³
* formation energy (no corrections): -1.51 eV/atom

Geometry as CIF:
```
data_KCaLa2Te4
_space_group_name_H-M_alt 'P 1 2/m 1'
_space_group_IT_number 10
_cell_length_a 8.0403
_cell_length_b 4.6074
_cell_length_c 8.1293
_cell_angle_alpha 90.00
_cell_angle_beta 108.86
_cell_angle_gamma 90.00
loop_
_space_group_symop_operation_xyz
'x,y,z'
'-x,-y,-z'
'-x,y,-z'
'x,-y,z'
loop_
_atom_site_label
_atom_site_type_symbol
_atom_site_fract_x
_atom_site_fract_y
_atom_site_fract_z
_atom_site_occupancy
K1 K 0.0000 0.0000 0.0000 1
Ca1 Ca 0.5000 0.5000 0.0000 1
La1 La 0.0000 0.5000 0.5000 1
La2 La 0.5000 0.0000 0.5000 1
Te1 Te 0.2574 0.0000 0.7483 1
Te2 Te 0.2625 0.5000 0.2619 1
```

# 2
Computed, not measured: Pm3Hg2Sb after structural relaxation at the GGA-PBE level of DFT.

Results
* total DFT energy (no corrections): -45.790 eV for the cell shown
* density: 9.46 Mg/m³
* formation energy (no corrections): -0.65 eV/atom

Geometry as CIF:
```
data_Pm3Hg2Sb
_space_group_name_H-M_alt 'P m m n'
_space_group_IT_number 59
_cell_length_a 5.2739
_cell_length_b 16.0626
_cell_length_c 3.9696
_cell_angle_alpha 90.00
_cell_angle_beta 90.00
_cell_angle_gamma 90.00
loop_
_space_group_symop_operation_xyz
'x,y,z'
'-x,-y,-z'
'-x+1/2,-y+1/2,z'
'x+1/2,y+1/2,-z'
'x+1/2,-y,-z'
'-x+1/2,y,z'
'-x,y+1/2,-z'
'x,-y+1/2,z'
loop_
_atom_site_label
_atom_site_type_symbol
_atom_site_fract_x
_atom_site_fract_y
_atom_site_fract_z
_atom_site_occupancy
Pm1 Pm 0.2500 0.0882 0.9999 1
Pm2 Pm 0.2500 0.7500 0.0009 1
Hg1 Hg 0.2500 0.5696 0.4997 1
Sb1 Sb 0.2500 0.2500 0.4995 1
```

# 3
Computed, not measured: Sr2Ca2Zn after structural relaxation at the GGA-PBE level of DFT.

Results
* total DFT energy (no corrections): -16.611 eV for the cell shown
* density: 2.52 Mg/m³
* ΔE to the lowest computed polymorph: 138.6 meV/atom
* E_form: 0.067 eV per atom

Geometry as CIF:
```
data_Sr2Ca2Zn
_space_group_name_H-M_alt 'P 4/m b m'
_space_group_IT_number 127
_space_group_name_Hall '-P 4 2ab'
_cell_length_a 8.0790
_cell_length_b 8.0790
_cell_length_c 6.4690
_cell_angle_alpha 90.00
_cell_angle_beta 90.00
_cell_angle_gamma 90.00
loop_
_atom_site_label
_atom_site_type_symbol
_atom_site_fract_x
_atom_site_fract_y
_atom_site_fract_z
_atom_site_occupancy
Sr1 Sr 0.1743 0.3257 0.0000 1
Ca1 Ca 0.1578 0.6578 0.5000 1
Zn1 Zn 0.0000 0.0000 0.5000 1
```

# 4
Computed, not measured: La8Ir3SI4 after structural relaxation at the GGA-PBE level of DFT.

Results
* total DFT energy (no corrections): -286.615 eV for the cell shown
* density: 7.09 Mg/m³
* formation energy (no corrections): -1.20 eV/atom

Geometry as CIF:
```
data_La8Ir3SI4
_space_group_name_H-M_alt 'R -3 m'
_space_group_IT_number 166
_space_group_name_Hall '-R 3 2"'
_cell_length_a 8.5939
_cell_length_b 8.5939
_cell_length_c 24.4649
_cell_angle_alpha 90.00
_cell_angle_beta 90.00
_cell_angle_gamma 120.00
loop_
_atom_site_label
_atom_site_type_symbol
_atom_site_fract_x
_atom_site_fract_y
_atom_site_fract_z
_atom_site_occupancy
La1 La 0.0000 0.0000 0.2286 1
La2 La 0.0128 0.5064 0.7709 1
Ir1 Ir 0.0000 0.5000 0.5000 1
S1 S 0.0000 0.0000 0.5000 1
I1 I 0.0000 0.0000 0.0000 1
I2 I 0.0000 0.5000 0.0000 1
```

# 5
Computed, not measured: Ba4GaHgI2 after structural relaxation at the GGA-PBE level of DFT.

Results
* total DFT energy (no corrections): -21.020 eV for the cell shown
* density: 4.95 Mg/m³
* formation energy (no corrections): -0.86 eV/atom

Geometry as CIF:
```
data_Ba4GaHgI2
_space_group_name_H-M_alt 'P 1 2/m 1'
_space_group_IT_number 10
_cell_length_a 8.3314
_cell_length_b 4.7499
_cell_length_c 9.4896
_cell_angle_alpha 90.00
_cell_angle_beta 106.55
_cell_angle_gamma 90.00
loop_
_space_group_symop_operation_xyz
'x,y,z'
'-x,-y,-z'
'-x,y,-z'
'x,-y,z'
loop_
_atom_site_label
_atom_site_type_symbol
_atom_site_fract_x
_atom_site_fract_y
_atom_site_fract_z
_atom_site_occupancy
Ba1 Ba 0.2374 0.0000 0.2258 1
Ba2 Ba 0.2500 0.5000 0.7730 1
Ga1 Ga 0.0000 0.5000 0.0000 1
Hg1 Hg 0.5000 0.0000 0.0000 1
I1 I 0.0000 0.0000 0.5000 1
I2 I 0.5000 0.5000 0.5000 1
```

# 6
Computed, not measured: Nb2MoW after structural relaxation at the GGA-PBE level of DFT.

Results
* total DFT energy (no corrections): -44.315 eV for the cell shown
* density: 11.40 Mg/m³
* E_form: -0.098 eV per atom

Geometry as CIF:
```
data_Nb2MoW
_space_group_name_H-M_alt 'P 4/m m m'
_space_group_IT_number 123
_space_group_name_Hall '-P 4 2'
_cell_length_a 3.2359
_cell_length_b 3.2359
_cell_length_c 6.4751
_cell_angle_alpha 90.00
_cell_angle_beta 90.00
_cell_angle_gamma 90.00
loop_
_atom_site_label
_atom_site_type_symbol
_atom_site_fract_x
_atom_site_fract_y
_atom_site_fract_z
_atom_site_occupancy
Nb1 Nb 0.0000 0.0000 0.2490 1
Mo1 Mo 0.5000 0.5000 0.0000 1
W1 W 0.5000 0.5000 0.5000 1
```